DFT (GGA-PBE) results for a relaxed Ga2BiP crystal.

Size of the total moment: 0.00 μB/atom
Calculated formation energy: -139 meV per atom
Crystal system: tetragonal
Mass density: 5.99 g/cm³
V: 26.3 Å³/atom

Cell: 5.9849 5.9849 11.7522 Å, 90.00 90.00 90.00°
Space group I-42d (No. 122)
Asymmetric unit:
Ga1 0.2009 0.2500 0.1250 [8 per cell]
Bi1 0.0000 0.0000 0.5000 [4 per cell]
P1 0.0000 0.0000 0.0000 [4 per cell]